No. 1
Dy2YSb3 GGA-PBE optimized geometry; calculated total energy = -5.82 eV per atom; SG = P-3m1 (164); total moment = 0.00 μB/cell
1.0
-1.452 -1.067 -3.996
-0.491 -2.806 3.332
-9.535 4.390 2.293
Dy Sb Y
2 3 1
Direct
0.333 0.667 0.167
0.667 0.333 0.833
0.000 0.000 0.000
0.667 0.333 0.333
0.333 0.667 0.667
0.000 0.000 0.500

No. 2
DyYSb2 GGA-PBE optimized geometry; calculated total energy = -5.98 eV per atom; SG = P4/mmm (123); total moment = 0.00 μB/cell
1.0
-1.525 -1.351 3.882
3.867 -1.874 0.867
1.969 5.269 2.608
Dy Sb Y
1 2 1
Direct
0.000 0.000 0.500
0.000 0.000 0.000
0.500 0.500 0.500
0.500 0.500 0.000